Here is an optimized crystal structure of Mg3AgGe from Alexandria via LeMat-Bulk. Energies are from PBE-GGA.

Unit cell a=5.0337 b=5.0337 c=5.0337 alpha=90.00 beta=90.00 gamma=90.00
Fractional positions:
Mg1 0.0000 0.0000 0.5000
Mg2 0.0000 0.5000 0.0000
Mg3 0.5000 0.0000 0.0000
Ag1 0.0000 0.0000 0.0000
Ge1 0.5000 0.5000 0.5000

## Properties
- Total DFT energy (no corrections): -2.15 eV/atom
- Size of the total moment: 0.0 μB/f.u.
- Symmetry: Pm-3m
- E above lowest polymorph: 117 meV/atom
- Calculated density: 3.30 g/cm³



Here is an optimized crystal structure of MgAgGe from Alexandria via LeMat-Bulk. Energies are from PBE-GGA.

Unit cell a=4.4419 b=4.4419 c=4.4419 alpha=60.00 beta=60.00 gamma=60.00
Fractional positions:
Mg1 0.0000 0.0000 0.0000
Ag1 0.7500 0.7500 0.7500
Ge1 0.5000 0.5000 0.5000

## Properties
- Total DFT energy (no corrections): -3.07 eV/atom
- Size of the total moment: 0.0 μB/f.u.
- Symmetry: F-43m
- Calculated density: 5.49 g/cm³



Here is an optimized crystal structure of Mg2Ag5Ge from Alexandria via LeMat-Bulk. Energies are from PBE-GGA.

Unit cell a=6.0019 b=11.5993 c=4.1488 alpha=90.00 beta=90.00 gamma=90.00
Fractional positions:
Mg1 0.2487 0.1261 0.0000
Mg2 0.2513 0.6261 0.0000
Mg3 0.7487 0.3739 0.0000
Mg4 0.7513 0.8739 0.0000
Ag1 0.0000 0.0000 0.5000
Ag2 0.0016 0.2536 0.5000
Ag3 0.2442 0.8747 0.0000
Ag4 0.2558 0.3747 0.0000
Ag5 0.4984 0.7536 0.5000
Ag6 0.5000 0.5000 0.5000
Ag7 0.5016 0.2464 0.5000
Ag8 0.7442 0.6253 0.0000
Ag9 0.7558 0.1253 0.0000
Ag10 0.9984 0.7464 0.5000
Ge1 0.0000 0.5000 0.5000
Ge2 0.5000 0.0000 0.5000

## Properties
- Total DFT energy (no corrections): -2.87 eV/atom
- Size of the total moment: 0.0 μB/f.u.
- Symmetry: Pbam
- Calculated density: 7.60 g/cm³



Here is an optimized crystal structure of Mg4Ag3Ge from Alexandria via LeMat-Bulk. Energies are from PBE-GGA.

Unit cell a=8.1854 b=8.1854 c=8.1854 alpha=33.60 beta=33.60 gamma=33.60
Fractional positions:
Mg1 0.1244 0.1244 0.1244
Mg2 0.3750 0.3750 0.3750
Mg3 0.6250 0.6250 0.6250
Mg4 0.8756 0.8756 0.8756
Ag1 0.0000 0.0000 0.0000
Ag2 0.2536 0.2536 0.2536
Ag3 0.7464 0.7464 0.7464
Ge1 0.5000 0.5000 0.5000

## Properties
- Total DFT energy (no corrections): -2.65 eV/atom
- Size of the total moment: 0.0 μB/f.u.
- Symmetry: R-3m
- Calculated density: 5.48 g/cm³



Here is an optimized crystal structure of Mg12Ag3Ge5 from Alexandria via LeMat-Bulk. Energies are from PBE-GGA.

Unit cell a=13.8425 b=13.8425 c=13.8425 alpha=109.47 beta=109.47 gamma=109.47
Fractional positions:
Mg1 0.0521 0.2213 0.1286
Mg2 0.0521 0.3308 0.9235
Mg3 0.0765 0.6286 0.4072
Mg4 0.0765 0.9479 0.6692
Mg5 0.0928 0.7213 0.6692
Mg6 0.0928 0.8714 0.4235
Mg7 0.1286 0.0521 0.2213
Mg8 0.1286 0.5765 0.9072
Mg9 0.1692 0.2213 0.5928
Mg10 0.1692 0.4479 0.5765
Mg11 0.2213 0.1286 0.0521
Mg12 0.2213 0.5928 0.1692
Mg13 0.2787 0.3308 0.9072
Mg14 0.2787 0.4479 0.3714
Mg15 0.3308 0.9072 0.2787
Mg16 0.3308 0.9235 0.0521
Mg17 0.3714 0.2787 0.4479
Mg18 0.3714 0.5928 0.9235
Mg19 0.4072 0.0765 0.6286
Mg20 0.4072 0.8308 0.7787
Mg21 0.4235 0.0928 0.8714
Mg22 0.4235 0.8308 0.5521
Mg23 0.4479 0.3714 0.2787
Mg24 0.4479 0.5765 0.1692
Mg25 0.5521 0.4235 0.8308
Mg26 0.5521 0.6286 0.7213
Mg27 0.5765 0.1692 0.4479
Mg28 0.5765 0.9072 0.1286
Mg29 0.5928 0.1692 0.2213
Mg30 0.5928 0.9235 0.3714
Mg31 0.6286 0.4072 0.0765
Mg32 0.6286 0.7213 0.5521
Mg33 0.6692 0.0765 0.9479
Mg34 0.6692 0.0928 0.7213
Mg35 0.7213 0.5521 0.6286
Mg36 0.7213 0.6692 0.0928
Mg37 0.7787 0.4072 0.8308
Mg38 0.7787 0.8714 0.9479
Mg39 0.8308 0.5521 0.4235
Mg40 0.8308 0.7787 0.4072
Mg41 0.8714 0.4235 0.0928
Mg42 0.8714 0.9479 0.7787
Mg43 0.9072 0.1286 0.5765
Mg44 0.9072 0.2787 0.3308
Mg45 0.9235 0.0521 0.3308
Mg46 0.9235 0.3714 0.5928
Mg47 0.9479 0.6692 0.0765
Mg48 0.9479 0.7787 0.8714
Ag1 0.1250 0.2500 0.3750
Ag2 0.1250 0.3750 0.7500
Ag3 0.2500 0.3750 0.1250
Ag4 0.2500 0.8750 0.6250
Ag5 0.3750 0.1250 0.2500
Ag6 0.3750 0.7500 0.1250
Ag7 0.6250 0.2500 0.8750
Ag8 0.6250 0.8750 0.7500
Ag9 0.7500 0.1250 0.3750
Ag10 0.7500 0.6250 0.8750
Ag11 0.8750 0.6250 0.2500
Ag12 0.8750 0.7500 0.6250
Ge1 0.0000 0.0000 0.0000
Ge2 0.0000 0.0000 0.5000
Ge3 0.0000 0.5000 0.0000
Ge4 0.0000 0.5000 0.5000
Ge5 0.1250 0.7500 0.8750
Ge6 0.1250 0.8750 0.2500
Ge7 0.2500 0.1250 0.8750
Ge8 0.2500 0.6250 0.3750
Ge9 0.3750 0.2500 0.6250
Ge10 0.3750 0.6250 0.7500
Ge11 0.5000 0.0000 0.0000
Ge12 0.5000 0.0000 0.5000
Ge13 0.5000 0.5000 0.0000
Ge14 0.5000 0.5000 0.5000
Ge15 0.6250 0.3750 0.2500
Ge16 0.6250 0.7500 0.3750
Ge17 0.7500 0.3750 0.6250
Ge18 0.7500 0.8750 0.1250
Ge19 0.8750 0.1250 0.7500
Ge20 0.8750 0.2500 0.1250

## Properties
- Total DFT energy (no corrections): -2.39 eV/atom
- Size of the total moment: 0.0 μB/f.u.
- Symmetry: Ia-3d
- Calculated density: 3.18 g/cm³



Here is an optimized crystal structure of MgAgGe2 from Alexandria via LeMat-Bulk. Energies are from PBE-GGA.

Unit cell a=4.3037 b=4.3037 c=4.0386 alpha=90.00 beta=90.00 gamma=90.00
Fractional positions:
Mg1 0.0000 0.0000 0.0000
Ag1 0.5000 0.5000 0.0000
Ge1 0.0000 0.5000 0.5000
Ge2 0.5000 0.0000 0.5000

## Properties
- Total DFT energy (no corrections): -3.40 eV/atom
- Size of the total moment: 0.0 μB/f.u.
- Symmetry: P4/mmm
- Calculated density: 6.16 g/cm³



Here is an optimized crystal structure of Mg2AgGe2 from Alexandria via LeMat-Bulk. Energies are from PBE-GGA.

Unit cell a=8.1148 b=8.1148 c=3.0207 alpha=90.00 beta=90.00 gamma=90.00
Fractional positions:
Mg1 0.1339 0.3661 0.0000
Mg2 0.3661 0.8661 0.0000
Mg3 0.6339 0.1339 0.0000
Mg4 0.8661 0.6339 0.0000
Ag1 0.0000 0.0000 0.0000
Ag2 0.5000 0.5000 0.0000
Ge1 0.1677 0.6677 0.5000
Ge2 0.3323 0.1677 0.5000
Ge3 0.6677 0.8323 0.5000
Ge4 0.8323 0.3323 0.5000

## Properties
- Total DFT energy (no corrections): -3.00 eV/atom
- Size of the total moment: 0.0 μB/f.u.
- Symmetry: P4/mbm
- E above lowest polymorph: 143 meV/atom
- Calculated density: 5.04 g/cm³



Here is an optimized crystal structure of MgAgGe from Alexandria via LeMat-Bulk. Energies are from PBE-GGA.

Unit cell a=4.4842 b=4.4842 c=3.3060 alpha=90.00 beta=90.00 gamma=120.00
Fractional positions:
Mg1 0.0000 0.0000 0.0000
Ag1 0.3333 0.6667 0.5017
Ge1 0.6667 0.3333 0.4994

## Properties
- Total DFT energy (no corrections): -3.07 eV/atom
- Size of the total moment: 0.0 μB/f.u.
- Symmetry: P3m1
- Calculated density: 5.91 g/cm³



Please write out number 4 again, unchanged.
Here is an optimized crystal structure of Mg4Ag3Ge from Alexandria via LeMat-Bulk. Energies are from PBE-GGA.

Unit cell a=8.1854 b=8.1854 c=8.1854 alpha=33.60 beta=33.60 gamma=33.60
Fractional positions:
Mg1 0.1244 0.1244 0.1244
Mg2 0.3750 0.3750 0.3750
Mg3 0.6250 0.6250 0.6250
Mg4 0.8756 0.8756 0.8756
Ag1 0.0000 0.0000 0.0000
Ag2 0.2536 0.2536 0.2536
Ag3 0.7464 0.7464 0.7464
Ge1 0.5000 0.5000 0.5000

## Properties
- Total DFT energy (no corrections): -2.65 eV/atom
- Size of the total moment: 0.0 μB/f.u.
- Symmetry: R-3m
- Calculated density: 5.48 g/cm³



Which value of calculated density does entry 6 give?
6.16 g/cm³



What is the formula in the sixth record?
MgAgGe2